Below is crystalline PuSiSn at its relaxed geometry, with properties calculated at the PBE level.

```
3
Lattice="0.0000 3.3130 3.3130 3.3130 0.0000 3.3130 3.3130 3.3130 0.0000" Properties=species:S:1:pos:R:3 pbc="T T T"
Sn 4.9695 4.9695 4.9695
Si 0.0000 0.0000 0.0000
Pu 1.6565 1.6565 1.6565
```

Computed properties:
The value obtained for the relative energy among the computed polymorphs is 0 meV per atom. As for the space group: F-43m.

---

Below is crystalline NbPb at its relaxed geometry, with properties calculated at the PBE level.

```
2
Lattice="-0.4081 0.5034 -3.2016 -0.3450 -3.0029 1.2382 -4.5592 0.8163 0.7094" Properties=species:S:1:pos:R:3 pbc="T T T"
Nb -3.8065 -0.0532 -1.1896
Pb -1.5058 -1.6301 -0.0644
```

Computed properties:
The value obtained for the relative energy among the computed polymorphs is 0 meV per atom. As for the space group: P-6m2.

---

Below is crystalline GdMgZn at its relaxed geometry, with properties calculated at the PBE level.

```
12
Lattice="-1.6762 -6.1191 0.5032 -0.6871 -3.0336 -5.5823 7.2729 -2.4857 -0.5077" Properties=species:S:1:pos:R:3 pbc="T T T"
Zn 5.3425 -9.6468 -5.0009
Mg 6.4761 -4.7028 -3.0573
Mg 3.3901 -5.2104 -3.3435
Gd 5.6547 -6.7553 -5.5414
Mg 3.2072 -6.7612 -0.2378
Zn 4.4918 -2.9695 -2.1336
Mg -0.2687 -9.4429 -5.1706
Zn 3.2614 -7.9405 -4.0822
Gd 1.8656 -3.5709 -0.5115
Gd 0.6444 -7.4786 -2.7591
Gd 5.5629 -7.6489 -2.1986
Zn 0.7984 -4.4964 -3.2243
```

Computed properties:
Its final energy is -2.6168 eV/atom. As for the space group: P1.

---

Number 1: spin magnetization 5.79 μB per formula unit. Number 2: spin magnetization 0.00 μB per formula unit. Number 3: spin magnetization 0.01 μB per formula unit.